Density functional theory data (GGA-PBE) for crystalline La2Pr3Nd3 at its relaxed geometry.

Results
The spin magnetization is 0.00 μB per formula unit. Its distance to the lowest polymorph of the same formula is 0.00 eV/f.u. The energy relative to the elements is 0.01 eV/atom.

```
data_La2Pr3Nd3
_chemical_formula_sum 'La4 Pr6 Nd6'
_space_group_name_H-M_alt 'C 1 2/m 1'
_space_group_IT_number 12
_space_group_name_Hall '-C 2y'
_cell_length_a 21.5740
_cell_length_b 5.2484
_cell_length_c 5.2493
_cell_angle_alpha 90.00
_cell_angle_beta 103.99
_cell_angle_gamma 90.00
loop_
_atom_site_label
_atom_site_fract_x
_atom_site_fract_y
_atom_site_fract_z
_atom_site_occupancy
La1 0.2498 0.0000 0.2498 1
Pr1 0.0000 0.0000 0.0000 1
Pr2 0.1242 0.0000 0.6242 1
Nd1 0.0000 0.5000 0.5000 1
Nd2 0.1241 0.5000 0.1241 1
```

Density functional theory data (GGA-PBE) for crystalline La4Pr10Nd at its relaxed geometry.

Results
The spin magnetization is 0.00 μB per formula unit. The energy relative to the elements is 0.27 eV/atom.

```
data_La4Pr10Nd
_chemical_formula_sum 'La8 Pr20 Nd2'
_space_group_name_H-M_alt 'I 4/m'
_space_group_IT_number 87
_space_group_name_Hall '-I 4'
_cell_length_a 10.1154
_cell_length_b 10.1154
_cell_length_c 10.7774
_cell_angle_alpha 90.00
_cell_angle_beta 90.00
_cell_angle_gamma 90.00
loop_
_atom_site_label
_atom_site_fract_x
_atom_site_fract_y
_atom_site_fract_z
_atom_site_occupancy
La1 0.0540 0.6731 0.0000 1
Pr1 0.0000 0.5000 0.2500 1
Pr2 0.1174 0.7960 0.3400 1
Nd1 0.0000 0.0000 0.0000 1
```

Density functional theory data (GGA-PBE) for crystalline La7PrNd4 at its relaxed geometry.

Results
The spin magnetization is 0.50 μB per formula unit. Its distance to the lowest polymorph of the same formula is 1.96 eV/f.u. The energy relative to the elements is 0.18 eV/atom.

```
data_La7PrNd4
_chemical_formula_sum 'La14 Pr2 Nd8'
_space_group_name_H-M_alt 'C 1 2/m 1'
_space_group_IT_number 12
_space_group_name_Hall '-C 2y'
_cell_length_a 16.7092
_cell_length_b 6.1870
_cell_length_c 9.5836
_cell_angle_alpha 90.00
_cell_angle_beta 116.53
_cell_angle_gamma 90.00
loop_
_atom_site_label
_atom_site_fract_x
_atom_site_fract_y
_atom_site_fract_z
_atom_site_occupancy
La1 0.0000 0.0000 0.0000 1
La2 0.0818 0.5000 0.4363 1
La3 0.2075 0.5000 0.2187 1
La4 0.2095 0.5000 0.8748 1
Pr1 0.0000 0.5000 0.0000 1
Nd1 0.0739 0.0000 0.6995 1
Nd2 0.1719 0.0000 0.3950 1
```

Density functional theory data (GGA-PBE) for crystalline LaPr4Nd3 at its relaxed geometry.

Results
The spin magnetization is 0.00 μB per formula unit. Its distance to the lowest polymorph of the same formula is 0.18 eV/f.u. The energy relative to the elements is 0.03 eV/atom.

```
data_LaPr4Nd3
_chemical_formula_sum 'La2 Pr8 Nd6'
_space_group_name_H-M_alt 'P m n 21'
_space_group_IT_number 31
_space_group_name_Hall 'P 2ac -2'
_cell_length_a 12.0495
_cell_length_b 7.4687
_cell_length_c 6.4659
_cell_angle_alpha 90.00
_cell_angle_beta 90.00
_cell_angle_gamma 90.00
loop_
_atom_site_label
_atom_site_fract_x
_atom_site_fract_y
_atom_site_fract_z
_atom_site_occupancy
La1 0.0000 0.1247 0.0000 1
Pr1 0.0000 0.3750 0.5005 1
Pr2 0.0000 0.8751 0.4998 1
Pr3 0.2495 0.6250 0.3313 1
Nd1 0.0000 0.6256 0.9988 1
Nd2 0.2503 0.1250 0.3311 1
```

Density functional theory data (GGA-PBE) for crystalline La6PrNd3 at its relaxed geometry.

Results
The spin magnetization is 0.00 μB per formula unit. Its distance to the lowest polymorph of the same formula is 0.00 eV/f.u. The energy relative to the elements is 0.10 eV/atom.

```
data_La6PrNd3
_chemical_formula_sum 'La24 Pr4 Nd12'
_space_group_name_H-M_alt 'C m c 21'
_space_group_IT_number 36
_space_group_name_Hall 'C 2c -2'
_cell_length_a 11.0641
_cell_length_b 19.8093
_cell_length_c 6.5971
_cell_angle_alpha 90.00
_cell_angle_beta 90.00
_cell_angle_gamma 90.00
loop_
_atom_site_label
_atom_site_fract_x
_atom_site_fract_y
_atom_site_fract_z
_atom_site_occupancy
La1 0.0000 0.0307 0.0000 1
La2 0.0000 0.2838 0.1955 1
La3 0.1722 0.4606 0.2974 1
La4 0.2263 0.2923 0.4794 1
Pr1 0.0000 0.1832 0.7608 1
Nd1 0.0000 0.3836 0.7635 1
Nd2 0.1767 0.1191 0.3895 1
```

Density functional theory data (GGA-PBE) for crystalline La2PrNd at its relaxed geometry.

Results
The spin magnetization is 0.00 μB per formula unit. Its distance to the lowest polymorph of the same formula is 0.01 eV/f.u. The energy relative to the elements is 0.01 eV/atom.

```
data_La2PrNd
_chemical_formula_sum 'La6 Pr3 Nd3'
_space_group_name_H-M_alt 'R -3 m'
_space_group_IT_number 166
_space_group_name_Hall '-R 3 2"'
_cell_length_a 3.7244
_cell_length_b 3.7244
_cell_length_c 36.3747
_cell_angle_alpha 90.00
_cell_angle_beta 90.00
_cell_angle_gamma 120.00
loop_
_atom_site_label
_atom_site_fract_x
_atom_site_fract_y
_atom_site_fract_z
_atom_site_occupancy
La1 0.0000 0.0000 0.2504 1
Pr1 0.0000 0.0000 0.5000 1
Nd1 0.0000 0.0000 0.0000 1
```

Density functional theory data (GGA-PBE) for crystalline La2Pr6Nd at its relaxed geometry.

Results
The spin magnetization is 0.00 μB per formula unit. Its distance to the lowest polymorph of the same formula is 0.00 eV/f.u. The energy relative to the elements is 0.16 eV/atom.

```
data_La2Pr6Nd
_chemical_formula_sum 'La4 Pr12 Nd2'
_space_group_name_H-M_alt 'I m m m'
_space_group_IT_number 71
_space_group_name_Hall '-I 2 2'
_cell_length_a 3.5242
_cell_length_b 10.5034
_cell_length_c 17.8154
_cell_angle_alpha 90.00
_cell_angle_beta 90.00
_cell_angle_gamma 90.00
loop_
_atom_site_label
_atom_site_fract_x
_atom_site_fract_y
_atom_site_fract_z
_atom_site_occupancy
La1 0.0000 0.0000 0.1666 1
Pr1 0.0000 0.1855 0.3336 1
Pr2 0.0000 0.1879 0.0000 1
Nd1 0.0000 0.0000 0.5000 1
```

Density functional theory data (GGA-PBE) for crystalline La2Pr5Nd at its relaxed geometry.

Results
The spin magnetization is 0.00 μB per formula unit. The energy relative to the elements is 0.01 eV/atom.

```
data_La2Pr5Nd
_chemical_formula_sum 'La4 Pr10 Nd2'
_space_group_name_H-M_alt 'P b a m'
_space_group_IT_number 55
_space_group_name_Hall '-P 2 2ab'
_cell_length_a 7.4155
_cell_length_b 14.8355
_cell_length_c 5.2769
_cell_angle_alpha 90.00
_cell_angle_beta 90.00
_cell_angle_gamma 90.00
loop_
_atom_site_label
_atom_site_fract_x
_atom_site_fract_y
_atom_site_fract_z
_atom_site_occupancy
La1 0.2503 0.1249 0.0000 1
Pr1 0.0000 0.0000 0.5000 1
Pr2 0.0003 0.2503 0.5000 1
Pr3 0.2499 0.3754 0.0000 1
Nd1 0.0000 0.5000 0.5000 1
```

Density functional theory data (GGA-PBE) for crystalline La3Pr3Nd5 at its relaxed geometry.

Results
The spin magnetization is 0.00 μB per formula unit. Its distance to the lowest polymorph of the same formula is 0.08 eV/f.u. The energy relative to the elements is 0.65 eV/atom.

```
data_La3Pr3Nd5
_chemical_formula_sum 'La3 Pr3 Nd5'
_space_group_name_H-M_alt 'P -6 2 m'
_space_group_IT_number 189
_space_group_name_Hall 'P -6 -2'
_cell_length_a 9.7910
_cell_length_b 9.7910
_cell_length_c 5.6427
_cell_angle_alpha 90.00
_cell_angle_beta 90.00
_cell_angle_gamma 120.00
loop_
_atom_site_label
_atom_site_fract_x
_atom_site_fract_y
_atom_site_fract_z
_atom_site_occupancy
La1 0.0000 0.6360 0.0000 1
Pr1 0.0000 0.5079 0.5000 1
Nd1 0.0000 0.2734 0.0000 1
Nd2 0.3333 0.6667 0.0000 1
```

Density functional theory data (GGA-PBE) for crystalline LaPr2Nd at its relaxed geometry.

Results
The spin magnetization is 0.00 μB per formula unit. Its distance to the lowest polymorph of the same formula is 0.09 eV/f.u. The energy relative to the elements is 0.03 eV/atom.

```
data_LaPr2Nd
_chemical_formula_sum 'La4 Pr8 Nd4'
_space_group_name_H-M_alt 'P 1 2/c 1'
_space_group_IT_number 13
_space_group_name_Hall '-P 2yc'
_cell_length_a 7.5839
_cell_length_b 6.3628
_cell_length_c 12.6082
_cell_angle_alpha 90.00
_cell_angle_beta 107.50
_cell_angle_gamma 90.00
loop_
_atom_site_label
_atom_site_fract_x
_atom_site_fract_y
_atom_site_fract_z
_atom_site_occupancy
La1 0.0609 0.1657 0.1212 1
Pr1 0.3107 0.3352 0.6216 1
Pr2 0.4416 0.1659 0.3799 1
Nd1 0.1905 0.3337 0.8779 1
```